A crystal of K3ZnCo relaxed with PBEsol. Source: Alexandria via LeMat-Bulk, functional SCAN.

DFT total energy (hartree per atom): -0.385
SG: Pm-3m, No. 221
DFT formation energy (eV per formula unit): 3.43

Lattice parameters (Å, degrees): 6.052 6.052 6.052 90.00 90.00 90.00
Fractional coordinates of all 5 atoms:
Zn  0.500  0.500  0.500
Co  0.000  0.000  0.000
K  0.000  0.000  0.500
K  0.500  0.000  0.000
K  0.000  0.500  0.000

=====

A crystal of LaCo3 relaxed with PBEsol. Source: Alexandria via LeMat-Bulk, functional SCAN.

DFT total energy (hartree per atom): -0.852
SG: I4/mmm, No. 139
DFT formation energy (eV per formula unit): 2.30

Lattice parameters (Å, degrees): 3.934 3.934 4.581 115.43 115.43 90.00
Fractional coordinates of all 4 atoms:
La  0.500  0.500  0.000
Co  0.750  0.250  0.500
Co  0.250  0.750  0.500
Co  0.000  0.000  0.000

=====

Which N(E_F) belongs to each record? In order, 0.7274 1.1585 states/eV per atom.